This record from the Alexandria database describes a relaxed YCdGa2 crystal. The functional is PBE-GGA.

It has space group I-42d (No. 122), with a = 4.5639 Å, b = 4.5639 Å, c = 18.8161 Å, α = 90.00°, β = 90.00° and γ = 90.00°. The distinct sites, in fractional coordinates, are Y at (0.0000, 0.0000, 0.0000), Cd at (0.0000, 0.0000, 0.5000) and Ga at (0.1692, 0.2500, 0.6250).

This record from the Alexandria database describes a relaxed Y2CdGa2 crystal. The functional is PBE-GGA.

It has space group I4/mmm (No. 139), with a = 4.8313 Å, b = 4.8313 Å, c = 11.5882 Å, α = 90.00°, β = 90.00° and γ = 90.00°. The distinct sites, in fractional coordinates, are Y at (0.0000, 0.5000, 0.2500), Cd at (0.0000, 0.0000, 0.0000) and Ga at (0.0000, 0.0000, 0.3990).

no.,density of states at the Fermi level (states/eV/f.u.),formation energy from the elements (meV per atom)
1,2.10,-84
2,5.21,-45